# SrEr2Ni (PBE, optimized geometry)
# **Volume**: 34.44 A^3/atom
# **Fermi-level density of states**: 10.98 states/eV/cell
# **Calculated formation energy**: 0.00 eV/atom
# **Polymorph energy (0 for the lowest one)**: 0.0926 eV per atom
data_SrEr2Ni
_cell_length_a 3.9083
_cell_length_b 3.9083
_cell_length_c 31.2421
_cell_angle_alpha 90.00
_cell_angle_beta 90.00
_cell_angle_gamma 120.00
_symmetry_space_group_name_H-M 'R -3 m'
_symmetry_Int_Tables_number 166
_symmetry_space_group_name_Hall '-R 3 2"'
loop_
_atom_site_label
_atom_site_type_symbol
_atom_site_fract_x
_atom_site_fract_y
_atom_site_fract_z
Sr1 Sr 0.0000 0.0000 0.0000
Er1 Er 0.0000 0.0000 0.1212
Ni1 Ni 0.0000 0.0000 0.5000